Computed, not measured: crystalline DyTlNiPd at its relaxed geometry at the PBE level of DFT.

Unit cell a=4.7532 b=4.7532 c=4.7532 alpha=60.00 beta=60.00 gamma=60.00
Element x y z (fractional)
Ni: 0.5000 0.5000 0.5000
Tl: 0.2500 0.2500 0.2500
Pd: 0.0000 0.0000 0.0000
Dy: 0.7500 0.7500 0.7500

Summary:
The value obtained for the calculated total energy is -19.55 eV/cell. The calculation puts the magnetization at 0.00 μB/atom.